Record 1
The following is a PBE calculation of GdDyTcAu after structural relaxation, from Alexandria via LeMat-Bulk.

The structure in CIF format:
```
data_GdDyTcAu
_chemical_formula_sum 'Gd4 Dy4 Tc4 Au4'
_cell_length_a 7.036
_cell_length_b 7.036
_cell_length_c 7.036
_cell_angle_alpha 90.00
_cell_angle_beta 90.00
_cell_angle_gamma 90.00
_space_group_name_H-M_alt 'F -4 3 m'
_space_group_IT_number 216
_space_group_name_Hall 'F -4 2 3'
loop_
_atom_site_label
_atom_site_type_symbol
_atom_site_fract_x
_atom_site_fract_y
_atom_site_fract_z
Gd1 Gd 0.000 0.000 0.000
Dy1 Dy 0.000 0.000 0.500
Tc1 Tc 0.250 0.250 0.250
Au1 Au 0.250 0.250 0.750
```

Summary:
final energy	-8.413	eV/atom
formation energy	-0.3315	eV per atom
density of states at the Fermi level	8.67	states/eV/cell

Record 2
The following is a PBE calculation of YCo3Rh after structural relaxation, from Alexandria via LeMat-Bulk.

The structure in CIF format:
```
data_YCo3Rh
_chemical_formula_sum 'Y1 Co3 Rh1'
_cell_length_a 4.554
_cell_length_b 4.554
_cell_length_c 4.554
_cell_angle_alpha 90.00
_cell_angle_beta 90.00
_cell_angle_gamma 90.00
_space_group_name_H-M_alt 'P m -3 m'
_space_group_IT_number 221
_space_group_name_Hall '-P 4 2 3'
loop_
_atom_site_label
_atom_site_type_symbol
_atom_site_fract_x
_atom_site_fract_y
_atom_site_fract_z
Y1 Y 0.000 0.000 0.000
Co1 Co 0.000 0.500 0.500
Rh1 Rh 0.500 0.500 0.500
```

Summary:
relative energy among the computed polymorphs	0.000	kcal/mol of atoms
final energy	-6.417	eV/atom
formation energy	0.6098	eV per atom
density of states at the Fermi level	5.35	states/eV/cell

Record 3
The following is a PBE calculation of CeHoPu2Bi4 after structural relaxation, from Alexandria via LeMat-Bulk.

The structure in CIF format:
```
data_CeHoPu2Bi4
_chemical_formula_sum 'Ce1 Ho1 Pu2 Bi4'
_cell_length_a 7.784
_cell_length_b 4.510
_cell_length_c 7.807
_cell_angle_alpha 90.00
_cell_angle_beta 90.06
_cell_angle_gamma 90.00
_space_group_name_H-M_alt 'P 1 2/m 1'
_space_group_IT_number 10
loop_
_space_group_symop_operation_xyz
'x,y,z'
'-x,-y,-z'
'-x,y,-z'
'x,-y,z'
loop_
_atom_site_label
_atom_site_type_symbol
_atom_site_fract_x
_atom_site_fract_y
_atom_site_fract_z
Ce1 Ce 0.000 0.000 0.000
Ho1 Ho 0.500 0.500 0.500
Pu1 Pu 0.000 0.500 0.500
Pu2 Pu 0.500 0.000 0.000
Bi1 Bi 0.252 0.500 0.170
Bi2 Bi 0.255 0.000 0.663
```

Summary:
final energy	-7.310	eV/atom
formation energy	-0.4728	eV per atom
density of states at the Fermi level	36.21	states/eV/cell

Record 4
The following is a PBE calculation of Er3TlH after structural relaxation, from Alexandria via LeMat-Bulk.

The structure in CIF format:
```
data_Er3TlH
_chemical_formula_sum 'Er3 Tl1 H1'
_cell_length_a 4.802
_cell_length_b 4.802
_cell_length_c 4.802
_cell_angle_alpha 90.00
_cell_angle_beta 90.00
_cell_angle_gamma 90.00
_space_group_name_H-M_alt 'P m -3 m'
_space_group_IT_number 221
_space_group_name_Hall '-P 4 2 3'
loop_
_atom_site_label
_atom_site_type_symbol
_atom_site_fract_x
_atom_site_fract_y
_atom_site_fract_z
Er1 Er 0.000 0.000 0.500
Tl1 Tl 0.500 0.500 0.500
H1 H 0.000 0.000 0.000
```

Summary:
relative energy among the computed polymorphs	0.000	kcal/mol of atoms
final energy	-4.158	eV/atom
density of states at the Fermi level	3.47	states/eV/cell

Q: Which value of density of states at the Fermi level does entry 3 give?
A: 36.21 states/eV/cell